MgNiAsO4: optimized geometry, GGA+U.

Cell: 5.983 5.983 5.983 Å, 121.44 117.14 91.27°
Sites, in units of the cell vectors:
Mg 0.000 0.000 0.000
Mg 0.500 0.000 0.500
Ni 0.500 0.000 0.000
Ni 0.500 0.500 0.500
As 0.114 0.364 0.750
As 0.886 0.636 0.250
O 0.246 0.247 0.501
O 0.246 0.746 0.999
O 0.266 0.246 0.019
O 0.273 0.754 0.519
O 0.727 0.246 0.481
O 0.734 0.754 0.981
O 0.754 0.254 0.001
O 0.754 0.753 0.499

Properties
Calculated volume = 153 Å³/cell
Density of states at the Fermi level = 0.284 states/eV per atom
Final energy = -5.61 eV per atom
Space-group type = Imma
Magnetic moment = 1.3 μB/f.u.